! NaLiWS4 | Alexandria | GGA-PBE | optimized geometry; values from VASP
&SYSTEM
  ibrav = 0, nat = 14, ntyp = 4
/
ATOMIC_SPECIES
Na 22.99 Na.upf
Li 6.94 Li.upf
W 183.84 W.upf
S 32.06 S.upf
ATOMIC_POSITIONS angstrom
Na 0.000 0.000 0.000
Na 0.000 0.000 4.017
Li 3.856 1.532 6.025
Li 3.856 -1.532 2.008
W 3.856 1.547 2.008
W 3.856 -1.547 6.025
S 2.082 0.207 2.008
S 3.856 2.803 0.208
S 3.856 2.803 3.808
S 2.082 -0.207 6.025
S 5.629 0.207 2.008
S 3.856 -2.803 4.225
S 3.856 -2.803 7.825
S 5.629 -0.207 6.025
CELL_PARAMETERS angstrom
3.856 -5.765 0.000
3.856 5.765 0.000
0.000 0.000 8.033
! - SG: Cmcm (63)
! - Formation energy without anion corrections: -831.4 meV/atom
! - Density: 3.18 g/cm³
! - Final energy: -5.5023 eV/atom
! - Spin magnetization: 0.000 μB/f.u.